Record 1
The following is a PBE-GGA calculation of a relaxed HoHfNi crystal, from the Alexandria database.

Results
Crystal system   tetragonal
Energy   -0.471 Ry per atom
E_form   0.3585 eV per atom
V   73.1 Å³/cell
Polymorph energy (0 for the lowest one)   689 meV/atom

```
3
Lattice="3.199 0.000 0.000 0.000 3.199 0.000 -1.600 -1.600 7.144" Properties=species:S:1:pos:R:3 pbc="T T T"
Hf 0.000 0.000 3.117
Ho 1.600 1.600 6.894
Ni 1.600 1.600 4.277
```

***

Record 2
The following is a PBE-GGA calculation of a relaxed KNa2AgB crystal, from the Alexandria database.

Results
Crystal system   tetragonal
Energy   -0.164 Ry per atom
E_form   0.4195 eV per atom
V   126.2 Å³/cell

```
5
Lattice="-4.714 2.431 -0.858 -0.630 -2.474 -3.550 -2.459 -3.703 3.017" Properties=species:S:1:pos:R:3 pbc="T T T"
B 0.000 0.000 0.000
K -3.901 -1.873 -0.696
Ag -0.315 -1.237 -1.775
Na -1.230 -1.852 1.508
Na -2.357 1.216 -0.429
```

***

Record 3
The following is a PBE-GGA calculation of a relaxed KZnRh crystal, from the Alexandria database.

Results
Crystal system   cubic
Energy   -0.146 Ry per atom
E_form   1.2541 eV per atom
V   77.5 Å³/cell
Polymorph energy (0 for the lowest one)   1208 meV/atom

```
3
Lattice="-0.509 -3.091 -3.617 2.733 -3.923 -0.197 -1.935 -4.306 0.786" Properties=species:S:1:pos:R:3 pbc="T T T"
K 0.072 -2.830 -0.757
Rh 0.000 0.000 0.000
Zn 0.145 -5.660 -1.514
```

***

Record 4
The following is a PBE-GGA calculation of a relaxed InPbAu2Br crystal, from the Alexandria database.

Results
Formation energy without anion corrections   0.485 eV/f.u.
Crystal system   tetragonal
Energy   -0.209 Ry per atom
V   175.3 Å³/cell

```
5
Lattice="5.430 0.000 0.000 0.000 5.944 0.000 0.000 0.000 5.430" Properties=species:S:1:pos:R:3 pbc="T T T"
In 2.715 2.972 2.715
Au 0.000 0.000 2.715
Au 2.715 0.000 0.000
Br 0.000 2.972 0.000
Pb 0.000 0.000 0.000
```

***

Record 5
The following is a PBE-GGA calculation of a relaxed GaW3S crystal, from the Alexandria database.

Results
Formation energy without anion corrections   4.465 eV/f.u.
Crystal system   cubic
Energy   -0.611 Ry per atom
V   86.2 Å³/cell
Polymorph energy (0 for the lowest one)   0 meV/atom

```
5
Lattice="-2.267 -1.192 -3.598 3.609 0.602 -2.474 1.158 -4.210 0.665" Properties=species:S:1:pos:R:3 pbc="T T T"
W -1.134 -0.596 -1.799
W 0.579 -2.105 0.333
W 1.805 0.301 -1.237
S 0.000 0.000 0.000
Ga 1.250 -2.400 -2.703
```

***

Record 6
The following is a PBE-GGA calculation of a relaxed Ca2TcGePb crystal, from the Alexandria database.

Results
Crystal system   tetragonal
Energy   -0.321 Ry per atom
E_form   0.1675 eV per atom
V   144.3 Å³/cell

```
5
Lattice="-3.109 2.937 3.497 -1.223 -3.974 2.251 4.337 0.576 3.372" Properties=species:S:1:pos:R:3 pbc="T T T"
Tc -0.611 -1.987 1.125
Ca 2.169 0.288 1.686
Ca -1.554 1.469 1.748
Pb 0.003 -0.230 4.560
Ge 0.000 0.000 0.000
```

***

Record 7
The following is a PBE-GGA calculation of a relaxed TaCuGeC2 crystal, from the Alexandria database.

Results
Crystal system   tetragonal
Energy   -0.421 Ry per atom
E_form   2.0733 eV per atom
V   66.7 Å³/cell

```
5
Lattice="-2.492 2.956 0.632 -1.044 -1.705 3.857 2.872 2.061 1.688" Properties=species:S:1:pos:R:3 pbc="T T T"
Ge 0.000 0.000 0.000
Cu -0.522 -0.853 1.929
Ta -0.332 1.656 3.089
C -1.246 1.478 0.316
C 1.436 1.030 0.844
```

***

Record 8
The following is a PBE-GGA calculation of a relaxed SrAsPdRh2 crystal, from the Alexandria database.

Results
Crystal system   tetragonal
Energy   -0.373 Ry per atom
E_form   0.1642 eV per atom
V   117.6 Å³/cell

```
5
Lattice="-0.899 -4.420 -0.507 0.966 -0.835 5.565 -4.382 0.791 0.879" Properties=species:S:1:pos:R:3 pbc="T T T"
As 0.000 0.000 0.000
Rh -2.191 0.395 0.439
Rh -0.450 -2.210 -0.254
Pd -2.158 -2.232 2.969
Sr 0.483 -0.417 2.783
```